Density functional theory data (PBE-GGA) for a relaxed BaCu2Ni2 crystal.

a = 7.4241 Å, b = 7.4241 Å, c = 2.9941 Å
α = 90.00°, β = 90.00°, γ = 90.00°
Last column: nearest neighbours and their distance in Å.
Positions (direct):
Ni 0.3752 0.8752 0.0000  6 Cu 2.55-2.78, 1 Ni 2.62
Ni 0.8752 0.6248 0.0000  6 Cu 2.55-2.78, 1 Ni 2.62
Ni 0.6248 0.1248 0.0000  6 Cu 2.55-2.78, 1 Ni 2.62
Ni 0.1248 0.3752 0.0000  6 Cu 2.55-2.78, 1 Ni 2.62
Ba 0.0000 0.0000 0.0000  4 Ni 2.94, 2 Ba 2.99, 8 Cu 3.19
Ba 0.5000 0.5000 0.0000  4 Ni 2.94, 2 Ba 2.99, 8 Cu 3.19
Cu 0.1523 0.6523 0.5000  6 Ni 2.55-2.78
Cu 0.6523 0.8477 0.5000  6 Ni 2.55-2.78
Cu 0.8477 0.3477 0.5000  6 Ni 2.55-2.78
Cu 0.3477 0.1523 0.5000  6 Ni 2.55-2.78

Calculated values
DFT total energy ... -4.028 eV/atom
Volume ... 165.0 Å³ per cell
SG ... P4/mbm, No. 127
Energy of formation from the pure elements ... 0.307 eV per atom